A relaxed structure of Th4InCu2, computed with PBE.

Summary:
* SG: R-3m (166)
* energy: -5.676 eV/atom
* density of states at the Fermi level: 6.480 states/eV/cell
* DFT formation energy: 85 kJ/mol of formula units

Cell: 9.028 9.028 9.028 Å, 32.98 32.98 32.98°
Element x y z (fractional)
Th (0.117, 0.117, 0.117)
Th (0.287, 0.287, 0.287)
Th (0.713, 0.713, 0.713)
Th (0.883, 0.883, 0.883)
In (0.500, 0.500, 0.500)
Cu (0.396, 0.396, 0.396)
Cu (0.604, 0.604, 0.604)

A relaxed structure of TlGaNiMo2, computed with PBE.

Summary:
* SG: P4/mmm (123)
* offset from the most stable computed form: 0.8717 eV/atom
* energy: -4.466 eV/atom
* density of states at the Fermi level: 3.630 states/eV/cell
* DFT formation energy: 1014 kJ/mol of formula units

Cell: 5.174 5.174 4.674 Å, 90.00 90.00 90.00°
Element x y z (fractional)
Tl (0.000, 0.000, 0.000)
Ga (0.500, 0.500, 0.500)
Ni (0.000, 0.000, 0.500)
Mo (0.000, 0.500, 0.000)
Mo (0.500, 0.000, 0.000)

What is the formula in the first record?
Th4InCu2